A relaxed structure of NbCrO4. Source: Alexandria, functional GGA+U.

Results
Energy, eV per atom: -8.56
Total magnetization, μB per formula unit: 3.00
D(E_F), states/eV/f.u.: 0.000

Lattice parameters (Å, degrees): 12.5634 3.9236 6.7309 90.00 107.85 90.00
Space group C2/m (No. 12)
Asymmetric unit:
Nb: 0.1042 0.0000 0.2307
Cr: 0.2035 0.0000 0.8199
O: 0.0540 0.0000 0.8620
O: 0.1377 0.5000 0.2002
O: 0.1411 0.0000 0.5133
O: 0.2403 0.5000 0.8582